# 1
A geometry-optimized RbTl3F4 structure, computed with PBE.

Computed properties:
As for the crystal system: orthorhombic. The calculation puts the polymorph energy (0 for the lowest one) at 0.000 eV/atom. For the density of states at the Fermi level, the calculation gives 0.000 states/eV/cell. As for the uncorrected formation energy: -15.8 eV per formula unit. The space group is Pmn2_1, No. 31. Its density is 6.7 g/cm³.

Cell and atoms, written as POSCAR:
```
RbTl3F4
1.0
-2.952 -0.885 -5.074
-3.932 -3.645 2.923
-6.142 8.325 2.121
Tl F Rb
6 8 2
Cartesian
-7.246 4.865 -0.625
-4.343 3.133 1.419
-7.816 3.402 3.434
-4.612 -3.201 -0.792
-4.171 0.698 -1.687
-4.749 -0.755 2.375
-8.922 4.056 -2.301
-6.040 2.627 -1.511
-8.513 3.500 1.030
-3.368 -2.831 1.359
-3.016 -1.710 -2.021
-5.446 -0.656 -0.029
-5.973 1.632 2.589
-5.847 -0.113 -3.363
-7.695 0.963 0.230
-1.299 -1.042 0.332
```


# 2
A geometry-optimized Mg2ScBiC structure, computed with PBE.

Computed properties:
As for the crystal system: tetragonal. Its energy relative to the elements is -1.46 eV/f.u. For the density of states at the Fermi level, the calculation gives 0.501 states/eV/cell. The space group is P4/mmm, No. 123. Its density is 5.6 g/cm³.

Cell and atoms, written as POSCAR:
```
Mg2ScBiC
1.0
-1.422 3.505 -2.408
-4.130 -0.535 1.661
1.046 2.841 3.517
Mg Bi C Sc
2 1 1 1
Cartesian
-2.065 -0.267 0.830
-0.711 1.753 -1.204
-2.253 2.905 1.385
0.000 0.000 0.000
0.523 1.420 1.759
```


# 3
A geometry-optimized Ce3HgGe structure, computed with PBE.

Computed properties:
As for the crystal system: orthorhombic. The calculation puts the polymorph energy (0 for the lowest one) at 0.059 eV/atom. Its energy relative to the elements is -1.58 eV/f.u. For the density of states at the Fermi level, the calculation gives 58.928 states/eV/cell. The space group is Pmmm, No. 47. Its density is 8.5 g/cm³.

Cell and atoms, written as POSCAR:
```
Ce3HgGe
1.0
-3.586 3.917 5.145
1.480 -6.586 6.045
7.620 0.584 4.868
Ge Hg Ce
4 4 12
Cartesian
-1.949 -0.356 6.882
2.600 -3.357 12.337
2.914 1.271 3.721
7.463 -1.730 9.176
6.723 1.562 6.154
1.860 -0.064 9.315
-1.210 -3.648 9.904
3.654 -2.022 6.742
-1.309 2.414 7.876
1.646 3.270 9.284
0.369 -2.273 7.300
3.439 1.313 6.712
2.161 -4.231 4.728
0.484 0.456 5.303
5.030 -2.542 10.754
5.145 0.187 8.758
3.868 -5.356 6.774
3.352 2.145 11.330
6.823 -4.500 8.182
2.075 -3.399 9.346
```


# 4
A geometry-optimized TaNbPd structure, computed with PBE.

Computed properties:
As for the crystal system: triclinic. The calculation puts the polymorph energy (0 for the lowest one) at 0.306 eV/atom. Its energy relative to the elements is 0.11 eV/f.u. For the density of states at the Fermi level, the calculation gives 4.800 states/eV/cell. The space group is P-1, No. 2. Its density is 11.5 g/cm³.

Cell and atoms, written as POSCAR:
```
TaNbPd
1.0
2.800 1.075 -0.970
1.947 5.894 -3.203
-3.183 -5.183 10.693
Nb Pd Ta
2 2 2
Cartesian
1.536 -0.188 4.234
0.028 1.974 2.287
0.853 -0.698 6.817
0.710 2.485 -0.297
2.114 0.367 1.409
-0.550 1.419 5.112
```


# 5
A geometry-optimized HoTmMgRh structure, computed with PBE.

Computed properties:
As for the crystal system: cubic. Its energy relative to the elements is -1.75 eV/f.u. For the density of states at the Fermi level, the calculation gives 1.978 states/eV/cell. The space group is F-43m, No. 216. Its density is 8.6 g/cm³.

Cell and atoms, written as POSCAR:
```
HoTmMgRh
1.0
5.006 0.000 0.000
2.503 4.335 0.000
2.503 1.445 4.087
Mg Ho Tm Rh
1 1 1 1
Cartesian
2.503 1.445 1.022
0.000 0.000 0.000
5.006 2.890 2.043
7.508 4.335 3.065
```


# 6
A geometry-optimized Tb6HoIn3 structure, computed with PBE.

Computed properties:
As for the crystal system: monoclinic. The calculation puts the polymorph energy (0 for the lowest one) at 0.000 eV/atom. Its energy relative to the elements is -2.67 eV/f.u. For the density of states at the Fermi level, the calculation gives 22.624 states/eV/cell. The space group is P2_1/m, No. 11. Its density is 8.4 g/cm³.

Cell and atoms, written as POSCAR:
```
Tb6HoIn3
1.0
5.106 0.000 0.000
0.000 10.082 -2.100
0.000 0.937 11.105
In Tb Ho
6 12 2
Cartesian
1.276 8.511 9.222
3.829 2.507 -0.217
3.829 5.150 5.820
1.276 4.371 8.223
3.829 6.648 0.783
1.276 5.869 3.186
3.829 3.967 2.697
1.276 7.052 6.308
1.276 1.667 2.117
3.829 2.440 7.623
3.829 7.788 3.845
3.829 6.359 8.879
1.276 8.579 1.382
1.276 1.525 9.955
3.829 9.352 6.888
1.276 4.660 0.127
3.829 9.494 -0.949
1.276 3.231 5.160
1.276 10.152 4.605
3.829 0.866 4.401
```